Record 1
# Na4CdSn (GGA-PBE, relaxed)
# * magnetization: 0.000 μB per atom
# * E_form: 0.42 eV/f.u.
# * offset from the most stable computed form: 173.5 meV/atom
data_Na4CdSn
_cell_length_a 8.7644
_cell_length_b 8.7644
_cell_length_c 8.7644
_cell_angle_alpha 90.00
_cell_angle_beta 90.00
_cell_angle_gamma 90.00
_space_group_name_H-M_alt 'F -4 3 m'
_space_group_IT_number 216
_space_group_name_Hall 'F -4 2 3'
loop_
_atom_site_label
_atom_site_type_symbol
_atom_site_fract_x
_atom_site_fract_y
_atom_site_fract_z
Na1 Na 0.1246 0.1246 0.1246
Cd1 Cd 0.0000 0.0000 0.5000
Sn1 Sn 0.2500 0.2500 0.7500


Record 2
# PdCSe2I (GGA-PBE, relaxed)
# * magnetization: 0.000 μB per atom
# * energy relative to the elements, uncorrected: 5.46 eV per formula unit
data_PdCSe2I
_cell_length_a 4.1010
_cell_length_b 4.1010
_cell_length_c 8.4433
_cell_angle_alpha 90.00
_cell_angle_beta 90.00
_cell_angle_gamma 90.00
_space_group_name_H-M_alt 'P 4/m m m'
_space_group_IT_number 123
_space_group_name_Hall '-P 4 2'
loop_
_atom_site_label
_atom_site_type_symbol
_atom_site_fract_x
_atom_site_fract_y
_atom_site_fract_z
Pd1 Pd 0.0000 0.0000 0.0000
C1 C 0.5000 0.5000 0.5000
Se1 Se 0.0000 0.5000 0.5000
I1 I 0.5000 0.5000 0.0000


Record 3
# PrPuRu (GGA-PBE, relaxed)
# * magnetization: 1.674 μB per atom
# * E_form: -0.31 eV/f.u.
# * offset from the most stable computed form: 0.0 meV/atom
data_PrPuRu
_cell_length_a 6.8140
_cell_length_b 6.7736
_cell_length_c 8.2198
_cell_angle_alpha 90.00
_cell_angle_beta 122.22
_cell_angle_gamma 90.00
_space_group_name_H-M_alt 'P 1 21/c 1'
_space_group_IT_number 14
loop_
_space_group_symop_operation_xyz
'x,y,z'
'-x,-y,-z'
'-x,y+1/2,-z+1/2'
'x,-y+1/2,z+1/2'
loop_
_atom_site_label
_atom_site_type_symbol
_atom_site_fract_x
_atom_site_fract_y
_atom_site_fract_z
Pr1 Pr 0.1985 0.1561 0.4178
Pu1 Pu 0.3056 0.6647 0.6038
Ru1 Ru 0.3208 0.5519 0.3067


Record 4
# ReMo3W2 (GGA-PBE, relaxed)
# * magnetization: 0.000 μB per atom
# * E_form: 1.91 eV/f.u.
# * offset from the most stable computed form: 0.0 meV/atom
data_ReMo3W2
_cell_length_a 4.6498
_cell_length_b 8.0650
_cell_length_c 5.1854
_cell_angle_alpha 90.00
_cell_angle_beta 90.00
_cell_angle_gamma 90.00
_space_group_name_H-M_alt 'P m c 21'
_space_group_IT_number 26
loop_
_space_group_symop_operation_xyz
'x,y,z'
'-x,-y,z+1/2'
'-x,y,z'
'x,-y,z+1/2'
loop_
_atom_site_label
_atom_site_type_symbol
_atom_site_fract_x
_atom_site_fract_y
_atom_site_fract_z
Re1 Re 0.0000 0.0868 0.0000
Mo1 Mo 0.0000 0.4094 0.9067
Mo2 Mo 0.5000 0.0880 0.7136
Mo3 Mo 0.5000 0.2723 0.1518
W1 W 0.0000 0.2308 0.4620
W2 W 0.5000 0.4047 0.6183